# 1
{"formula": "Ca4Tl2Fe", "functional": "GGA-PBE", "state": "optimized geometry", "sg": "I4/mmm, No. 139", "formation_energy_ev_per_atom": 0.137, "lattice": [[-0.709, -2.774, -4.533], [3.416, -3.741, 1.754], [-4.784, -7.263, 2.022]], "species": ["Fe", "Ca", "Tl", "Tl", "Ca", "Ca", "Ca"], "frac_coords": [[0.000, 0.000, 0.000], [0.500, 0.000, 0.000], [0.378, 0.378, 0.244], [0.622, 0.622, 0.756], [0.823, 0.823, 0.354], [0.177, 0.177, 0.646], [0.000, 0.500, 0.000]]}

# 2
{"formula": "Pr2NiPb", "functional": "GGA-PBE", "state": "optimized geometry", "sg": "R-3m, No. 166", "formation_energy_ev_per_atom": -0.039, "lattice": [[-1.181, 3.683, 0.324], [-3.403, 0.806, 1.682], [2.992, 2.169, 9.492]], "species": ["Pr", "Pr", "Pb", "Ni"], "frac_coords": [[0.889, 0.889, 0.332], [0.111, 0.111, 0.668], [0.000, 0.000, 0.000], [0.500, 0.500, 0.500]]}

# 3
{"formula": "AgIrBr", "functional": "GGA-PBE", "state": "optimized geometry", "sg": "I4mm, No. 107", "lattice": [[-0.524, -1.247, -6.510], [3.614, -1.221, -5.446], [-1.637, -0.861, 6.387]], "species": ["Ir", "Br", "Ag"], "frac_coords": [[0.670, 0.670, 0.000], [0.310, 0.310, 0.000], [0.020, 0.020, 0.000]]}

# 4
{"formula": "Cd5As3", "functional": "GGA-PBE", "state": "optimized geometry", "sg": "Cmmm, No. 65", "formation_energy_ev_per_atom": 0.114, "lattice": [[3.731, -5.846, 0.000], [3.731, 5.846, 0.000], [0.000, 0.000, 4.304]], "species": ["Cd", "As", "Cd", "Cd", "Cd", "As", "Cd", "As"], "frac_coords": [[0.725, 0.725, 0.500], [0.822, 0.178, 0.500], [0.000, 0.500, 0.000], [0.275, 0.275, 0.500], [0.500, 0.000, 0.000], [0.500, 0.500, 0.000], [0.000, 0.000, 0.000], [0.178, 0.822, 0.500]]}

# 5
{"formula": "SrLi2As2", "functional": "GGA-PBE", "state": "optimized geometry", "sg": "P4/nmm, No. 129", "formation_energy_ev_per_atom": -0.813, "lattice": [[4.275, 0.000, 0.000], [0.000, 4.275, 0.000], [0.000, 0.000, 11.217]], "species": ["Sr", "As", "Sr", "As", "Li", "Li", "As", "Li", "As", "Li"], "frac_coords": [[0.000, 0.500, 0.754], [0.500, 0.500, 0.500], [0.500, 0.000, 0.246], [0.500, 0.000, 0.859], [0.000, 0.000, 0.000], [0.000, 0.500, 0.364], [0.000, 0.000, 0.500], [0.500, 0.000, 0.636], [0.000, 0.500, 0.141], [0.500, 0.500, 0.000]]}

# 6
{"formula": "AlZn3Se4", "functional": "GGA-PBE", "state": "optimized geometry", "sg": "R3m, No. 160", "lattice": [[-2.908, 2.439, 1.732], [-0.883, -0.368, 4.061], [7.861, 9.588, 4.722]], "species": ["Zn", "Al", "Se", "Se", "Se", "Zn", "Zn", "Se"], "frac_coords": [[0.499, 0.499, 0.502], [0.999, 0.999, 0.002], [0.564, 0.564, 0.309], [0.062, 0.062, 0.813], [0.315, 0.315, 0.056], [0.750, 0.750, 0.751], [0.248, 0.248, 0.256], [0.813, 0.813, 0.561]]}

# 7
{"formula": "SrZrAs", "functional": "GGA-PBE", "state": "optimized geometry", "sg": "F-43m, No. 216", "formation_energy_ev_per_atom": 0.732, "lattice": [[5.109, 0.000, 0.000], [2.555, 4.425, 0.000], [2.555, 1.475, 4.172]], "species": ["Zr", "Sr", "As"], "frac_coords": [[0.000, 0.000, 0.000], [0.750, 0.750, 0.750], [0.500, 0.500, 0.500]]}

# 8
{"formula": "ReSiIO2", "functional": "GGA-PBE", "state": "optimized geometry", "sg": "P4/mmm, No. 123", "lattice": [[3.615, 0.000, 0.000], [0.000, 3.615, 0.000], [0.000, 0.000, 6.861]], "species": ["Re", "I", "Si", "O", "O"], "frac_coords": [[0.500, 0.500, 0.500], [0.000, 0.000, 0.500], [0.000, 0.000, 0.000], [0.500, 0.000, 0.000], [0.000, 0.500, 0.000]]}

Short version: raw total energy = -20.24, -19.20, -10.92, -17.61, -37.74, -26.10, -12.68, -27.92 eV for the cell shown, in the order given.